# 1
First-principles (GGA-PBE) data for a relaxed Ac2Sm3Pb4 crystal, as listed in Alexandria.

Geometry as extended XYZ:
```
18
Lattice="8.745 0.000 0.000 0.000 8.733 0.000 -3.044 0.000 7.973" Properties=species:S:1:pos:R:3 pbc="T T T"
Ac 1.498 1.551 0.484
Ac -0.024 2.815 4.470
Ac 5.726 5.917 3.502
Ac 4.204 7.182 7.489
Sm 1.422 5.772 1.938
Sm -0.100 7.327 5.924
Sm 2.851 0.000 3.986
Sm 4.373 4.366 0.000
Sm 5.802 1.405 2.048
Sm 4.280 2.961 6.035
Pb -1.800 4.749 6.718
Pb -0.279 8.350 2.731
Pb 1.719 1.206 6.867
Pb 3.241 3.160 2.880
Pb 2.461 5.573 5.092
Pb 3.983 7.526 1.106
Pb 5.980 0.382 5.241
Pb 7.502 3.984 1.255
```

Values from the calculation:
crystal system	monoclinic
E_form	-0.6087	eV/atom
excess energy over the best structure of this formula in the dataset	0	meV per atom

# 2
First-principles (GGA-PBE) data for a relaxed Li4Pd2Au5 crystal, as listed in Alexandria.

Geometry as extended XYZ:
```
11
Lattice="4.527 -2.021 0.000 4.527 2.021 0.000 -2.435 0.000 9.601" Properties=species:S:1:pos:R:3 pbc="T T T"
Li -0.333 0.000 3.073
Li 2.280 0.000 2.102
Li 4.340 0.000 7.499
Li 6.952 0.000 6.528
Pd 1.628 0.000 8.297
Pd 4.991 0.000 1.304
Au -1.084 0.000 9.078
Au 0.579 0.000 5.775
Au 3.310 0.000 4.801
Au 6.040 0.000 3.827
Au 7.703 0.000 0.523
```

Values from the calculation:
crystal system	monoclinic
E_form	-0.4157	eV/atom